No. 1
Here is crystalline PIr2Ru at its relaxed geometry from Alexandria. Energies are from GGA-PBE.

abc: 2.7670 2.7670 8.7472
angles: 90.00 90.00 120.46
Last column: nearest neighbours and their distance in Å.
Sites, in units of the cell vectors:
Ir (0.0000, 0.0000, 0.7305)  2 P 2.44, 2 Ru 2.73
Ir (0.0000, 0.0000, 0.2695)  2 P 2.44, 2 Ru 2.73
Ru (0.5000, 0.5000, 0.0000)  4 Ir 2.73, 6 Ru 2.75-2.77
P (0.5000, 0.5000, 0.5000)  4 Ir 2.44

Results
crystal system	orthorhombic
calculated formation energy	0.379	eV/atom

---

No. 2
Here is crystalline PIr4Ru at its relaxed geometry from Alexandria. Energies are from GGA-PBE.

abc: 5.1624 5.1624 5.1624
angles: 60.00 60.00 60.00
Last column: nearest neighbours and their distance in Å.
Sites, in units of the cell vectors:
P (0.7500, 0.7500, 0.7500)  12 Ir 3.03, 4 Ru 3.16
Ir (0.3749, 0.8754, 0.3749)  6 Ir 2.58
Ir (0.3749, 0.3749, 0.3749)  6 Ir 2.58
Ir (0.8754, 0.3749, 0.3749)  6 Ir 2.58
Ir (0.3749, 0.3749, 0.8754)  6 Ir 2.58
Ru (0.0000, 0.0000, 0.0000)  12 Ir 3.03, 4 P 3.16

Results
crystal system	cubic
calculated formation energy	0.870	eV/atom

---

No. 3
Here is crystalline PIr2Ru at its relaxed geometry from Alexandria. Energies are from GGA-PBE.

abc: 2.7863 3.7051 5.4470
angles: 90.00 90.00 90.00
Last column: nearest neighbours and their distance in Å.
Sites, in units of the cell vectors:
Ir (0.0000, 0.0000, 0.2505)  4 Ru 2.69, 4 P 2.69, 4 Ir 2.72-2.79
Ir (0.0000, 0.0000, 0.7495)  4 Ru 2.69, 4 P 2.69, 4 Ir 2.72-2.79
Ru (0.5000, 0.5000, 0.5000)  8 Ir 2.69, 2 P 2.72, 2 Ru 2.79
P (0.5000, 0.5000, 0.0000)  8 Ir 2.69, 2 Ru 2.72, 2 P 2.79

Results
crystal system	orthorhombic
calculated formation energy	0.183	eV/atom

---

No. 4
Here is crystalline PIr2Ru at its relaxed geometry from Alexandria. Energies are from GGA-PBE.

abc: 4.6243 4.6243 2.7784
angles: 90.00 90.00 108.80
Last column: nearest neighbours and their distance in Å.
Sites, in units of the cell vectors:
Ru (0.5000, 0.5000, 0.5000)  2 P 2.69, 8 Ir 2.70, 2 Ru 2.78
Ir (0.0000, 0.5000, 0.0000)  4 Ir 2.69-2.78, 4 Ru 2.70, 4 P 2.70
Ir (0.5000, 0.0000, 0.0000)  4 Ir 2.69-2.78, 4 Ru 2.70, 4 P 2.70
P (0.0000, 0.0000, 0.5000)  2 Ru 2.69, 8 Ir 2.70, 2 P 2.78

Results
crystal system	orthorhombic
calculated formation energy	0.171	eV/atom

---

No. 5
Here is crystalline PIr2Ru at its relaxed geometry from Alexandria. Energies are from GGA-PBE.

abc: 5.3255 5.3255 6.6942
angles: 66.56 66.56 90.00
Last column: nearest neighbours and their distance in Å.
Sites, in units of the cell vectors:
Ru (0.0000, 0.0000, 0.0000)  4 Ir 2.42
Ru (0.7500, 0.2500, 0.5000)  4 Ir 2.42
P (0.5000, 0.5000, 0.0000)  4 Ir 2.26
P (0.2500, 0.7500, 0.5000)  4 Ir 2.26
Ir (0.8750, 0.8499, 0.7500)  2 P 2.26, 2 Ru 2.42
Ir (0.3750, 0.4001, 0.7500)  2 P 2.26, 2 Ru 2.42
Ir (0.5999, 0.1250, 0.2500)  2 P 2.26, 2 Ru 2.42
Ir (0.1501, 0.6250, 0.2500)  2 P 2.26, 2 Ru 2.42

Results
crystal system	tetragonal
calculated formation energy	0.427	eV/atom

---

No. 6
Here is crystalline PIr2Ru at its relaxed geometry from Alexandria. Energies are from GGA-PBE.

abc: 4.6331 4.6331 4.6331
angles: 130.70 130.70 72.29
Last column: nearest neighbours and their distance in Å.
Sites, in units of the cell vectors:
P (0.5000, 0.5000, 0.0000)  8 Ir 2.69, 4 Ru 2.73
Ir (0.2500, 0.7500, 0.5000)  4 P 2.69, 4 Ru 2.69, 4 Ir 2.73
Ir (0.7500, 0.2500, 0.5000)  4 P 2.69, 4 Ru 2.69, 4 Ir 2.73
Ru (0.0000, 0.0000, 0.0000)  8 Ir 2.69, 4 P 2.73

Results
crystal system	tetragonal
calculated formation energy	0.205	eV/atom

---

No. 7
Here is crystalline PIr2Ru at its relaxed geometry from Alexandria. Energies are from GGA-PBE.

abc: 3.8033 3.8033 3.8475
angles: 90.00 90.00 90.00
Last column: nearest neighbours and their distance in Å.
Sites, in units of the cell vectors:
Ir (0.0000, 0.5000, 0.0000)  4 Ir 2.69, 4 Ru 2.71, 4 P 2.71
Ir (0.5000, 0.0000, 0.0000)  4 Ir 2.69, 4 Ru 2.71, 4 P 2.71
P (0.5000, 0.5000, 0.5000)  4 Ru 2.69, 8 Ir 2.71
Ru (0.0000, 0.0000, 0.5000)  4 P 2.69, 8 Ir 2.71

Results
crystal system	tetragonal
calculated formation energy	0.179	eV/atom

---

No. 8
Here is crystalline PIr2Ru at its relaxed geometry from Alexandria. Energies are from GGA-PBE.

abc: 2.8058 2.8058 7.0281
angles: 90.00 90.00 90.00
Last column: nearest neighbours and their distance in Å.
Sites, in units of the cell vectors:
Ir (0.0000, 0.0000, 0.7731)  4 P 2.55, 4 Ru 2.76, 4 Ir 2.81
Ir (0.0000, 0.0000, 0.2269)  4 P 2.55, 4 Ru 2.76, 4 Ir 2.81
Ru (0.5000, 0.5000, 0.5000)  8 Ir 2.76, 4 Ru 2.81
P (0.5000, 0.5000, 0.0000)  8 Ir 2.55, 4 P 2.81

Results
crystal system	tetragonal
calculated formation energy	0.092	eV/atom

---

No. 9
Here is crystalline P2IrRuS at its relaxed geometry from Alexandria. Energies are from GGA-PBE.

abc: 4.4334 4.4334 4.6372
angles: 90.00 90.00 90.00
Last column: nearest neighbours and their distance in Å.
Sites, in units of the cell vectors:
P (0.5000, 0.0000, 0.0000)  2 Ru 2.22
P (0.0000, 0.5000, 0.0000)  2 Ru 2.22
S (0.0000, 0.0000, 0.5000)  2 Ru 2.32
Ru (0.0000, 0.0000, 0.0000)  4 P 2.22, 2 S 2.32
Ir (0.5000, 0.5000, 0.5000)  4 S 3.13, 8 P 3.21

Results
crystal system	tetragonal
raw formation energy	1.07	eV/atom

---

No. 10
Here is crystalline P2IrRuS at its relaxed geometry from Alexandria. Energies are from GGA-PBE.

abc: 4.4753 4.4753 4.8067
angles: 90.00 90.00 90.00
Last column: nearest neighbours and their distance in Å.
Sites, in units of the cell vectors:
S (0.0000, 0.0000, 0.5000)  2 Ir 2.40
Ir (0.0000, 0.0000, 0.0000)  4 P 2.24, 2 S 2.40
P (0.0000, 0.5000, 0.0000)  2 Ir 2.24
P (0.5000, 0.0000, 0.0000)  2 Ir 2.24
Ru (0.5000, 0.5000, 0.5000)  4 S 3.16, 8 P 3.28

Results
crystal system	tetragonal
raw formation energy	1.12	eV/atom

---

No. 11
Here is crystalline ScPIrRu2 at its relaxed geometry from Alexandria. Energies are from GGA-PBE.

abc: 4.2680 4.7127 4.2680
angles: 90.00 90.00 90.00
Last column: nearest neighbours and their distance in Å.
Sites, in units of the cell vectors:
Ru (0.0000, 0.0000, 0.5000)  2 P 2.13
Ru (0.5000, 0.0000, 0.0000)  2 P 2.13
Ir (0.5000, 0.5000, 0.5000)  4 Sc 3.02, 8 Ru 3.18
P (0.0000, 0.0000, 0.0000)  4 Ru 2.13, 2 Sc 2.36
Sc (0.0000, 0.5000, 0.0000)  2 P 2.36

Results
crystal system	tetragonal
calculated formation energy	0.205	eV/atom

---

No. 12
Here is crystalline SmP2IrRu at its relaxed geometry from Alexandria. Energies are from GGA-PBE.

abc: 4.0369 4.0369 5.7158
angles: 110.68 110.68 90.00
Last column: nearest neighbours and their distance in Å.
Sites, in units of the cell vectors:
Ir (0.7500, 0.2500, 0.5000)  4 P 2.39
P (0.3801, 0.3801, 0.7601)  1 P 2.38, 2 Ir 2.39, 2 Ru 2.39
P (0.6199, 0.6199, 0.2399)  1 P 2.38, 2 Ir 2.39, 2 Ru 2.39
Ru (0.2500, 0.7500, 0.5000)  4 P 2.39
Sm (0.0000, 0.0000, 0.0000)  8 P 3.09, 4 Ru 3.19, 4 Ir 3.19

Results
crystal system	tetragonal
calculated formation energy	-0.960	eV/atom

---

No. 13
Here is crystalline Sr2PIrRu at its relaxed geometry from Alexandria. Energies are from GGA-PBE.

abc: 5.7962 4.2944 5.7962
angles: 90.00 90.00 90.00
Last column: nearest neighbours and their distance in Å.
Sites, in units of the cell vectors:
P (0.0000, 0.0000, 0.0000)  2 Ir 2.15
Ru (0.5000, 0.5000, 0.5000)  8 Sr 3.61
Sr (0.0000, 0.0000, 0.5000)  2 P 2.90
Sr (0.5000, 0.0000, 0.0000)  2 P 2.90
Ir (0.0000, 0.5000, 0.0000)  2 P 2.15

Results
crystal system	tetragonal
calculated formation energy	0.287	eV/atom

---

No. 14
Here is crystalline TaP2IrRu at its relaxed geometry from Alexandria. Energies are from GGA-PBE.

abc: 4.4007 5.0648 4.4007
angles: 90.00 90.00 90.00
Last column: nearest neighbours and their distance in Å.
Sites, in units of the cell vectors:
P (0.0000, 0.0000, 0.5000)  2 Ir 2.20
P (0.5000, 0.0000, 0.0000)  2 Ir 2.20
Ta (0.0000, 0.5000, 0.0000)  2 Ir 2.53
Ir (0.0000, 0.0000, 0.0000)  4 P 2.20
Ru (0.5000, 0.5000, 0.5000)  4 Ta 3.11, 8 P 3.35

Results
crystal system	tetragonal
calculated formation energy	1.246	eV/atom

---

No. 15
Here is crystalline TaP2IrRu at its relaxed geometry from Alexandria. Energies are from GGA-PBE.

abc: 4.6541 4.6798 4.6541
angles: 90.00 90.00 90.00
Last column: nearest neighbours and their distance in Å.
Sites, in units of the cell vectors:
Ta (0.0000, 0.0000, 0.0000)  4 P 2.33, 2 Ru 2.34
P (0.5000, 0.0000, 0.0000)  2 Ta 2.33
P (0.0000, 0.0000, 0.5000)  2 Ta 2.33
Ir (0.5000, 0.5000, 0.5000)  4 Ru 3.29, 8 P 3.30
Ru (0.0000, 0.5000, 0.0000)  2 Ta 2.34

Results
crystal system	tetragonal
calculated formation energy	1.443	eV/atom

---

No. 16
Here is crystalline Th2P3Ir4Ru at its relaxed geometry from Alexandria. Energies are from GGA-PBE.

abc: 4.0689 4.0689 10.4598
angles: 90.00 90.00 90.00
Last column: nearest neighbours and their distance in Å.
Sites, in units of the cell vectors:
Ir (0.0000, 0.0000, 0.0000)  4 P 2.46
Ir (0.0000, 0.5000, 0.3534)  3 P 2.31-2.55, 2 Ru 2.55
Ir (0.5000, 0.5000, 0.0000)  4 P 2.46
Ir (0.5000, 0.0000, 0.6466)  3 P 2.31-2.55, 2 Ru 2.55
Th (0.0000, 0.5000, 0.7542)  8 Ir 3.09-3.28, 6 P 3.11-3.35, 2 Ru 3.35
Th (0.5000, 0.0000, 0.2458)  8 Ir 3.09-3.28, 6 P 3.11-3.35, 2 Ru 3.35
P (0.0000, 0.0000, 0.5000)  4 Ir 2.55
P (0.0000, 0.5000, 0.1325)  5 Ir 2.31-2.46
P (0.5000, 0.0000, 0.8675)  5 Ir 2.31-2.46
Ru (0.5000, 0.5000, 0.5000)  4 Ir 2.55

Results
crystal system	tetragonal
calculated formation energy	-0.795	eV/atom

---

No. 17
Here is crystalline ThP2IrRu2 at its relaxed geometry from Alexandria. Energies are from GGA-PBE.

abc: 3.9866 7.5795 6.7233
angles: 90.00 90.00 90.00
Last column: nearest neighbours and their distance in Å.
Sites, in units of the cell vectors:
P (0.5000, 0.7879, 0.6456)  3 Ru 2.35-2.45, 2 Ir 2.39-2.46
P (0.0000, 0.6693, 0.1119)  4 Ru 2.28-2.41
P (0.0000, 0.1693, 0.8881)  4 Ru 2.28-2.41
P (0.5000, 0.2879, 0.3544)  3 Ru 2.35-2.45, 2 Ir 2.39-2.46
Ru (0.0000, 0.3725, 0.1640)  4 P 2.28-2.45
Ru (0.5000, 0.1293, 0.0540)  3 P 2.30-2.35
Ru (0.5000, 0.6293, 0.9460)  3 P 2.30-2.35
Ru (0.0000, 0.8725, 0.8360)  4 P 2.28-2.45
Th (0.0000, 0.9739, 0.3504)  5 P 2.81-3.15, 2 Ir 3.02, 2 Ru 3.05
Th (0.0000, 0.4739, 0.6496)  5 P 2.81-3.15, 2 Ir 3.02, 2 Ru 3.05
Ir (0.5000, 0.1126, 0.6496)  4 P 2.39-2.59
Ir (0.5000, 0.6126, 0.3504)  4 P 2.39-2.59

Results
crystal system	orthorhombic
calculated formation energy	-0.797	eV/atom

---

No. 18
Here is crystalline UP2Ir2Ru at its relaxed geometry from Alexandria. Energies are from GGA-PBE.

abc: 3.8390 7.4786 6.6853
angles: 90.00 90.00 90.00
Last column: nearest neighbours and their distance in Å.
Sites, in units of the cell vectors:
Ir (0.5000, 0.6082, 0.9309)  3 P 2.37-2.46
Ir (0.0000, 0.3792, 0.1437)  4 P 2.32-2.52
Ir (0.5000, 0.1082, 0.0691)  3 P 2.37-2.46
Ir (0.0000, 0.8792, 0.8563)  4 P 2.32-2.52
P (0.0000, 0.6899, 0.1433)  4 Ir 2.32-2.46, 2 Ru 2.44
P (0.5000, 0.2829, 0.3640)  2 Ru 2.34-2.41, 3 Ir 2.37-2.52
P (0.5000, 0.7829, 0.6360)  2 Ru 2.34-2.41, 3 Ir 2.37-2.52
P (0.0000, 0.1899, 0.8567)  4 Ir 2.32-2.46, 2 Ru 2.44
Ru (0.5000, 0.6054, 0.3484)  4 P 2.34-2.44
Ru (0.5000, 0.1054, 0.6516)  4 P 2.34-2.44
U (0.0000, 0.9799, 0.3618)  1 P 2.62, 2 Ru 2.88, 2 Ir 2.90
U (0.0000, 0.4799, 0.6382)  1 P 2.62, 2 Ru 2.88, 2 Ir 2.90

Results
crystal system	orthorhombic
calculated formation energy	-0.573	eV/atom

---

No. 19
Here is crystalline P2IrRuW at its relaxed geometry from Alexandria. Energies are from GGA-PBE.

abc: 4.4164 4.9474 4.4164
angles: 90.00 90.00 90.00
Last column: nearest neighbours and their distance in Å.
Sites, in units of the cell vectors:
Ru (0.5000, 0.5000, 0.5000)  4 W 3.12, 8 P 3.32
Ir (0.0000, 0.0000, 0.0000)  4 P 2.21
P (0.0000, 0.0000, 0.5000)  2 Ir 2.21
P (0.5000, 0.0000, 0.0000)  2 Ir 2.21
W (0.0000, 0.5000, 0.0000)  2 Ir 2.47

Results
crystal system	tetragonal
calculated formation energy	1.616	eV/atom

---

No. 20
Here is crystalline PIrRuW2 at its relaxed geometry from Alexandria. Energies are from GGA-PBE.

abc: 4.8104 4.2733 4.8104
angles: 90.00 90.00 90.00
Last column: nearest neighbours and their distance in Å.
Sites, in units of the cell vectors:
Ir (0.0000, 0.0000, 0.0000)  2 P 2.14
W (0.0000, 0.0000, 0.5000)  2 Ir 2.41
W (0.5000, 0.0000, 0.0000)  2 Ir 2.41
Ru (0.5000, 0.5000, 0.5000)  8 W 3.22, 4 P 3.40
P (0.0000, 0.5000, 0.0000)  2 Ir 2.14

Results
crystal system	tetragonal
calculated formation energy	1.922	eV/atom

---

Number 1: total magnetization 0.92 μB/cell, density 14.856 g/cm³, volume 57.73 Å³ per cell. Number 2: total magnetization 3.53 μB/cell, density 15.377 g/cm³, volume 97.29 Å³ per cell. Number 3: total magnetization 0.00 μB/cell, density 15.252 g/cm³, volume 56.23 Å³ per cell. Number 4: total magnetization 0.00 μB/cell, density 15.248 g/cm³, volume 56.24 Å³ per cell. Number 5: total magnetization 0.00 μB/cell, density 10.928 g/cm³, volume 156.96 Å³ per cell. Number 6: total magnetization 0.00 μB/cell, density 15.349 g/cm³, volume 55.88 Å³ per cell. Number 7: total magnetization 0.00 μB/cell, density 15.410 g/cm³, volume 55.65 Å³ per cell. Number 8: total magnetization 0.00 μB/cell, density 15.501 g/cm³, volume 55.33 Å³ per cell. Number 9: total magnetization 0.00 μB/cell, density 7.056 g/cm³, volume 91.15 Å³ per cell. Number 10: total magnetization 1.14 μB/cell, density 6.681 g/cm³, volume 96.27 Å³ per cell. Number 11: total magnetization 0.00 μB/cell, density 9.097 g/cm³, volume 85.85 Å³ per cell. Number 12: total magnetization 0.00 μB/cell, density 10.404 g/cm³, volume 80.70 Å³ per cell. Number 13: total magnetization 2.25 μB/cell, density 5.749 g/cm³, volume 144.27 Å³ per cell. Number 14: total magnetization 0.00 μB/cell, density 9.078 g/cm³, volume 98.08 Å³ per cell. Number 15: total magnetization 0.00 μB/cell, density 8.783 g/cm³, volume 101.37 Å³ per cell. Number 16: total magnetization 0.00 μB/cell, density 13.683 g/cm³, volume 173.17 Å³ per cell. Number 17: total magnetization 0.00 μB/cell, density 11.253 g/cm³, volume 203.16 Å³ per cell. Number 18: total magnetization 2.05 μB/cell, density 13.591 g/cm³, volume 191.94 Å³ per cell. Number 19: total magnetization 1.32 μB/cell, density 9.277 g/cm³, volume 96.50 Å³ per cell. Number 20: total magnetization 0.00 μB/cell, density 11.620 g/cm³, volume 98.88 Å³ per cell.